Er4AgOs, optimized geometry, DFT GGA-PBE; E above lowest polymorph = 123 meV per atom; energy of formation = -0.15 eV/atom; E = -5.537 eV/atom; crystal system = tetragonal
1.0
4.829 0.000 0.000
0.000 4.829 0.000
0.000 0.000 6.999
Er Ag Os
4 1 1
Direct
0.000 0.500 0.231 Er
0.000 0.500 0.769 Er
0.500 0.000 0.231 Er
0.500 0.000 0.769 Er
0.000 0.000 0.500 Ag
0.500 0.500 0.000 Os

PrErAgOs, optimized geometry, DFT GGA-PBE; energy of formation = -0.16 eV/atom; E = -6.015 eV/atom; crystal system = cubic
1.0
0.000 3.558 3.558
3.558 0.000 3.558
3.558 3.558 0.000
Pr Er Ag Os
1 1 1 1
Direct
0.000 0.000 0.000 Pr
0.500 0.500 0.500 Er
0.750 0.750 0.750 Ag
0.250 0.250 0.250 Os

SmErAgOs, optimized geometry, DFT GGA-PBE; E above lowest polymorph = 0 meV per atom; energy of formation = -0.28 eV/atom; E = -6.119 eV/atom; crystal system = tetragonal
1.0
3.423 0.000 0.000
0.000 3.423 0.000
0.000 0.000 7.668
Sm Er Ag Os
1 1 1 1
Direct
0.000 0.000 0.000 Sm
0.000 0.000 0.559 Er
0.500 0.500 0.296 Ag
0.500 0.500 0.771 Os

SmErAgOs, optimized geometry, DFT GGA-PBE; E above lowest polymorph = 51 meV per atom; energy of formation = -0.23 eV/atom; E = -6.067 eV/atom; crystal system = cubic
1.0
0.000 3.522 3.522
3.522 0.000 3.522
3.522 3.522 0.000
Sm Er Ag Os
1 1 1 1
Direct
0.000 0.000 0.000 Sm
0.500 0.500 0.500 Er
0.250 0.250 0.250 Ag
0.750 0.750 0.750 Os

ErTiAgOs, optimized geometry, DFT GGA-PBE; energy of formation = -0.15 eV/atom; E = -6.782 eV/atom; crystal system = cubic
1.0
0.000 3.324 3.324
3.324 0.000 3.324
3.324 3.324 0.000
Er Ti Ag Os
1 1 1 1
Direct
0.000 0.000 0.000 Er
0.500 0.500 0.500 Ti
0.250 0.250 0.250 Ag
0.750 0.750 0.750 Os

ErTmAgOs, optimized geometry, DFT GGA-PBE; E above lowest polymorph = 0 meV per atom; energy of formation = -0.37 eV/atom; E = -6.150 eV/atom; crystal system = tetragonal
1.0
3.373 0.000 0.000
0.000 3.373 0.000
0.000 0.000 7.517
Er Tm Ag Os
1 1 1 1
Direct
0.000 0.000 0.000 Er
0.000 0.000 0.560 Tm
0.500 0.500 0.283 Ag
0.500 0.500 0.779 Os

ErTmAgOs, optimized geometry, DFT GGA-PBE; E above lowest polymorph = 44 meV per atom; energy of formation = -0.33 eV/atom; E = -6.106 eV/atom; crystal system = cubic
1.0
0.000 3.461 3.461
3.461 0.000 3.461
3.461 3.461 0.000
Er Tm Ag Os
1 1 1 1
Direct
0.000 0.000 0.000 Er
0.500 0.500 0.500 Tm
0.250 0.250 0.250 Ag
0.750 0.750 0.750 Os

ErZrAgOs, optimized geometry, DFT GGA-PBE; energy of formation = -0.25 eV/atom; E = -7.049 eV/atom; crystal system = cubic
1.0
0.000 3.412 3.412
3.412 0.000 3.412
3.412 3.412 0.000
Er Zr Ag Os
1 1 1 1
Direct
0.000 0.000 0.000 Er
0.500 0.500 0.500 Zr
0.250 0.250 0.250 Ag
0.750 0.750 0.750 Os